Record 1
The following is a DFT calculation (PBE-GGA) of a relaxed structure of GePRu2.

The formation energy from the elements comes out at 0.079 eV per atom. Its total energy is -113.1 eV for the cell shown. The magnetic moment comes out at 0.00 μB per formula unit.

The space group is I-42d (No. 122) and the conventional cell measures 5.450, 5.450 and 10.301 Å, with angles of 90.00, 90.00 and 90.00 degrees. The asymmetric unit holds Ge at (0.000, 0.000, 0.000), P at (0.000, 0.000, 0.500) and Ru at (0.222, 0.250, 0.625).

Record 2
The following is a DFT calculation (PBE-GGA) of a relaxed structure of GePRu2.

The formation energy from the elements comes out at -0.273 eV per atom. Its total energy is -89.0 eV for the cell shown. The magnetic moment comes out at 0.00 μB per formula unit.

The space group is R3m (No. 160, hexagonal axes) and the conventional cell measures 3.7098, 3.7098 and 15.0181 Å, with angles of 90.00, 90.00 and 120.00 degrees. The asymmetric unit holds Ge at (0.0000, 0.0000, 0.0000), P at (0.0000, 0.0000, 0.1701), Ru at (0.0000, 0.0000, 0.5659) and Ru at (0.0000, 0.0000, 0.7632).

Record 3
The following is a DFT calculation (PBE-GGA) of a relaxed structure of GeP2RuS.

Its total energy is -26.2 eV for the cell shown. For the uncorrected formation energy, the calculation gives 0.536 eV per atom. The magnetic moment comes out at 0.00 μB per formula unit.

The space group is P4/mmm (No. 123) and the conventional cell measures 4.442, 4.442 and 5.291 Å, with angles of 90.00, 90.00 and 90.00 degrees. The asymmetric unit holds Ge at (0.000, 0.000, 0.000), P at (0.000, 0.500, 0.500), Ru at (0.500, 0.500, 0.500) and S at (0.500, 0.500, 0.000).

Record 4
The following is a DFT calculation (PBE-GGA) of a relaxed structure of GeP2RuS.

Its total energy is -22.4 eV for the cell shown. For the uncorrected formation energy, the calculation gives 1.292 eV per atom. The magnetic moment comes out at 0.00 μB per formula unit.

The space group is P4/mmm (No. 123) and the conventional cell measures 4.532, 4.532 and 4.562 Å, with angles of 90.00, 90.00 and 90.00 degrees. The asymmetric unit holds Ge at (0.000, 0.000, 0.000), P at (0.000, 0.500, 0.000), Ru at (0.500, 0.500, 0.500) and S at (0.000, 0.000, 0.500).

Record 5
The following is a DFT calculation (PBE-GGA) of a relaxed structure of GePRuS2.

Its total energy is -21.7 eV for the cell shown. For the uncorrected formation energy, the calculation gives 1.173 eV per atom. The magnetic moment comes out at 2.31 μB per formula unit.

The space group is P4/mmm (No. 123) and the conventional cell measures 4.609, 4.609 and 4.664 Å, with angles of 90.00, 90.00 and 90.00 degrees. The asymmetric unit holds Ge at (0.000, 0.000, 0.000), P at (0.000, 0.000, 0.500), Ru at (0.500, 0.500, 0.500) and S at (0.000, 0.500, 0.000).

Record 6
The following is a DFT calculation (PBE-GGA) of a relaxed structure of GePRuS2.

Its total energy is -25.0 eV for the cell shown. For the uncorrected formation energy, the calculation gives 0.513 eV per atom. The magnetic moment comes out at 0.00 μB per formula unit.

The space group is P4/mmm (No. 123) and the conventional cell measures 4.812, 4.812 and 4.357 Å, with angles of 90.00, 90.00 and 90.00 degrees. The asymmetric unit holds Ge at (0.000, 0.000, 0.000), P at (0.500, 0.500, 0.000), Ru at (0.500, 0.500, 0.500) and S at (0.000, 0.500, 0.500).

Record 7
The following is a DFT calculation (PBE-GGA) of a relaxed structure of SrGe2PRu2.

The formation energy from the elements comes out at -0.285 eV per atom. Its total energy is -36.6 eV for the cell shown. The magnetic moment comes out at 1.37 μB per formula unit.

The space group is P4/mmm (No. 123) and the conventional cell measures 4.498, 4.498 and 5.793 Å, with angles of 90.00, 90.00 and 90.00 degrees. The asymmetric unit holds Sr at (0.000, 0.000, 0.000), Ge at (0.500, 0.500, 0.236), P at (0.000, 0.000, 0.500) and Ru at (0.000, 0.500, 0.500).

Record 8
The following is a DFT calculation (PBE-GGA) of a relaxed structure of TiGeP2Ru.

The formation energy from the elements comes out at 1.241 eV per atom. Its total energy is -26.4 eV for the cell shown. The magnetic moment comes out at 0.88 μB per formula unit.

The space group is P4/mmm (No. 123) and the conventional cell measures 4.538, 4.538 and 4.654 Å, with angles of 90.00, 90.00 and 90.00 degrees. The asymmetric unit holds Ti at (0.000, 0.000, 0.000), Ge at (0.000, 0.000, 0.500), P at (0.000, 0.500, 0.500) and Ru at (0.500, 0.500, 0.000).